## CsCoClO2 (PBE with a Hubbard U)

Data for crystalline CsCoClO2 at its relaxed geometry.

calculated total energy = -2.92 eV/atom

Lattice parameters (Å, degrees): 4.2848 4.2848 6.8058 90.00 90.00 90.00
With the nearest neighbours (Å) after each atom.
Space group P4/mmm (No. 123)
Unique sites:
1 Cs 0.0000 0.0000 0.0000 [1 per cell]  4 O 2.14
2 Co 0.5000 0.5000 0.5000 [1 per cell]  4 Cl 3.03
3 Cl 0.0000 0.0000 0.5000 [1 per cell]  4 Co 3.03
4 O 0.0000 0.5000 0.0000 [2 per cell]  2 Cs 2.14